Entry from Alexandria via LeMat-Bulk: an optimized crystal structure of Pu3Mn5O12 (GGA+U).

Structure (POSCAR):
```
Pu3Mn5O12
1.0
11.016 0.000 0.000
-3.672 10.386 0.000
-3.672 -5.193 8.995
O Mn Pu
48 20 12
direct
0.416 0.284 0.327
0.416 0.132 0.590
0.327 0.784 0.416
0.132 0.716 0.542
0.368 0.958 0.784
0.084 0.910 0.368
0.868 0.284 0.458
0.173 0.090 0.958
0.673 0.458 0.590
0.958 0.368 0.284
0.458 0.784 0.868
0.868 0.584 0.910
0.368 0.410 0.084
0.590 0.958 0.673
0.090 0.916 0.132
0.132 0.416 0.090
0.042 0.410 0.827
0.542 0.216 0.132
0.716 0.132 0.042
0.090 0.173 0.458
0.632 0.042 0.216
0.284 0.416 0.827
0.410 0.368 0.584
0.716 0.584 0.173
0.410 0.042 0.327
0.458 0.673 0.090
0.327 0.542 0.410
0.084 0.173 0.216
0.673 0.216 0.584
0.216 0.673 0.084
0.916 0.827 0.784
0.284 0.868 0.958
0.916 0.090 0.632
0.827 0.910 0.042
0.584 0.868 0.410
0.632 0.590 0.916
0.784 0.458 0.368
0.584 0.716 0.673
0.173 0.084 0.716
0.827 0.916 0.284
0.784 0.327 0.916
0.216 0.542 0.632
0.542 0.327 0.910
0.958 0.590 0.173
0.042 0.632 0.716
0.910 0.084 0.868
0.910 0.827 0.542
0.590 0.632 0.416
0.875 0.625 0.750
0.125 0.750 0.375
0.500 0.000 0.000
0.750 0.625 0.375
0.500 0.000 0.500
0.375 0.250 0.125
0.250 0.875 0.125
0.625 0.750 0.875
0.250 0.375 0.625
0.000 0.500 0.000
0.750 0.125 0.875
0.375 0.125 0.750
0.875 0.250 0.625
0.125 0.375 0.250
0.500 0.500 0.000
0.000 0.000 0.000
0.000 0.500 0.500
0.625 0.875 0.250
0.000 0.000 0.500
0.500 0.500 0.500
0.875 0.750 0.125
0.125 0.875 0.750
0.250 0.125 0.375
0.750 0.375 0.125
0.750 0.875 0.625
0.625 0.250 0.375
0.125 0.250 0.875
0.375 0.625 0.250
0.875 0.125 0.250
0.250 0.625 0.875
0.375 0.750 0.625
0.625 0.375 0.750
```

Values from the calculation:
The value obtained for the density of states at the Fermi level is 1.1494 states/eV per atom. The calculation puts the total energy at -0.337 Ha/atom.